A crystal of FeNi2Mo relaxed with PBEsol. Source: Alexandria via LeMat-Bulk, functional SCAN.

Unit cell a=2.5353 b=3.6720 c=5.0138 alpha=90.00 beta=90.00 gamma=90.00
Last column: nearest neighbours and their distance in Å.
Fractional positions:
Fe 0.5000 0.5000 0.0000  2 Mo 2.51, 2 Fe 2.54, 8 Ni 2.54
Ni 0.0000 0.0000 0.2412  4 Ni 2.42-2.60, 4 Fe 2.54, 4 Mo 2.58
Ni 0.0000 0.0000 0.7588  4 Ni 2.42-2.60, 4 Fe 2.54, 4 Mo 2.58
Mo 0.5000 0.5000 0.5000  2 Fe 2.51, 2 Mo 2.54, 8 Ni 2.58

M_tot: 0.857 μB per atom
DOS(E_F): 0.6230 states/eV/atom
DFT formation energy: 0.006 eV/atom


A crystal of FeNi2Mo relaxed with PBEsol. Source: Alexandria via LeMat-Bulk, functional SCAN.

Unit cell a=2.5369 b=2.5369 c=7.2879 alpha=90.00 beta=90.00 gamma=90.00
Last column: nearest neighbours and their distance in Å.
Fractional positions:
Mo 0.5000 0.5000 0.5000  4 Mo 2.54, 8 Ni 2.64
Fe 0.5000 0.5000 0.0000  8 Ni 2.48, 4 Fe 2.54
Ni 0.0000 0.0000 0.2348  4 Fe 2.48, 4 Ni 2.54, 4 Mo 2.64
Ni 0.0000 0.0000 0.7652  4 Fe 2.48, 4 Ni 2.54, 4 Mo 2.64

M_tot: 0.968 μB per atom
DOS(E_F): 0.5843 states/eV/atom
DFT formation energy: -0.045 eV/atom


no.,relative energy among the computed polymorphs (meV/atom)
1,51
2,0